No. 1
La3TlGa2Pd9: optimized geometry, PBE.

```
La3TlGa2Pd9
1.0
5.7535 0.0000 0.0000
-2.8767 4.9827 0.0000
0.0000 0.0000 12.0949
La Tl Ga Pd
3 1 2 9
Direct
0.0000 0.0000 0.0000
0.3333 0.6667 0.7488
0.6667 0.3333 0.2512
0.0000 0.0000 0.5000
0.3333 0.6667 0.1590
0.6667 0.3333 0.8410
0.0000 0.5000 0.0000
0.1627 0.3255 0.3097
0.1627 0.8373 0.3097
0.3255 0.1627 0.6903
0.5000 0.0000 0.0000
0.5000 0.5000 0.0000
0.6745 0.8373 0.3097
0.8373 0.1627 0.6903
0.8373 0.6745 0.6903
```

The formation energy from the elements is -873.3 kJ/mol of formula units. The calculation puts the size of the total moment at 0.00 μB per formula unit. As for the density of states at the Fermi level: 5.38 states/eV/f.u.


No. 2
Ba3ZrO: optimized geometry, PBE.

```
Ba3ZrO
1.0
5.5973 0.0000 0.0000
0.0000 5.5973 0.0000
0.0000 0.0000 5.5973
Ba Zr O
3 1 1
Direct
0.0000 0.0000 0.5000
0.0000 0.5000 0.0000
0.5000 0.0000 0.0000
0.5000 0.5000 0.5000
0.0000 0.0000 0.0000
```

The uncorrected formation energy is -525 meV per atom. The energy above the most stable polymorph in this dataset comes out at 0.00 eV per formula unit. The calculation puts the size of the total moment at 3.61 μB per formula unit. As for the density of states at the Fermi level: 6.59 states/eV/f.u.


No. 3
DyTm5Mg6: optimized geometry, PBE.

```
DyTm5Mg6
1.0
5.3341 0.0000 0.0000
0.0000 7.4652 0.0000
-2.6596 0.0000 8.0033
Dy Tm Mg
1 5 6
Direct
0.0000 0.0000 0.0000
0.0000 0.5000 0.0000
0.3319 0.0000 0.6655
0.3332 0.5000 0.6680
0.6668 0.5000 0.3320
0.6681 0.0000 0.3345
0.1684 0.2509 0.3345
0.1684 0.7491 0.3345
0.5000 0.2508 0.0000
0.5000 0.7492 0.0000
0.8316 0.2509 0.6655
0.8316 0.7491 0.6655
```

The formation energy from the elements is -72.1 kJ/mol of formula units. The calculation puts the size of the total moment at 0.00 μB per formula unit. As for the density of states at the Fermi level: 16.65 states/eV/f.u.


No. 4
InAgBr2: optimized geometry, PBE.

```
InAgBr2
1.0
0.0000 3.7938 3.7938
3.7938 0.0000 3.7938
3.7938 3.7938 0.0000
In Ag Br
1 1 2
Direct
0.0000 0.0000 0.0000
0.5000 0.5000 0.5000
0.2500 0.2500 0.2500
0.7500 0.7500 0.7500
```

The uncorrected formation energy is -305 meV per atom. The energy above the most stable polymorph in this dataset comes out at 0.64 eV per formula unit. The calculation puts the size of the total moment at 0.00 μB per formula unit. As for the density of states at the Fermi level: 0.00 states/eV/f.u.


No. 5
NaNi4Se8: optimized geometry, PBE.

```
NaNi4Se8
1.0
3.5542 2.0520 7.1631
-3.5542 2.0520 7.1631
0.0000 -4.1041 7.1631
Na Ni Se
1 4 8
Direct
0.0000 0.0000 0.0000
0.0000 0.0000 0.5000
0.0000 0.5000 0.0000
0.5000 0.0000 0.0000
0.5000 0.5000 0.5000
0.2211 0.7269 0.7269
0.2246 0.2246 0.2246
0.2731 0.2731 0.7789
0.2731 0.7789 0.2731
0.7269 0.2211 0.7269
0.7269 0.7269 0.2211
0.7754 0.7754 0.7754
0.7789 0.2731 0.2731
```

The uncorrected formation energy is -334 meV per atom. The calculation puts the size of the total moment at 0.00 μB per formula unit. As for the density of states at the Fermi level: 6.14 states/eV/f.u.


No. 6
Pm3Ni8Pt: optimized geometry, PBE.

```
Pm3Ni8Pt
1.0
2.5234 1.4569 8.2934
-2.5234 1.4569 8.2934
0.0000 -2.9138 8.2934
Pm Ni Pt
3 8 1
Direct
0.0000 0.0000 0.0000
0.1304 0.1304 0.1304
0.5187 0.5187 0.5187
0.0650 0.5700 0.5700
0.0722 0.0722 0.5674
0.0722 0.5674 0.0722
0.3198 0.3198 0.3198
0.5674 0.0722 0.0722
0.5700 0.0650 0.5700
0.5700 0.5700 0.0650
0.8200 0.8200 0.8200
0.6384 0.6384 0.6384
```

The formation energy from the elements is -418.2 kJ/mol of formula units. The calculation puts the size of the total moment at 0.00 μB per formula unit. As for the density of states at the Fermi level: 12.55 states/eV/f.u.


No. 7
LaTbPu4: optimized geometry, PBE.

```
LaTbPu4
1.0
0.0000 4.3936 4.3936
4.3936 0.0000 4.3936
4.3936 4.3936 0.0000
La Tb Pu
1 1 4
Direct
0.0000 0.0000 0.0000
0.7500 0.7500 0.7500
0.3750 0.3750 0.3750
0.3750 0.3750 0.8748
0.3750 0.8748 0.3750
0.8748 0.3750 0.3750
```

The formation energy from the elements is 136.2 kJ/mol of formula units. The calculation puts the size of the total moment at 22.79 μB per formula unit. As for the density of states at the Fermi level: 28.13 states/eV/f.u.


No. 8
La2Mg2Sb: optimized geometry, PBE.

```
La2Mg2Sb
1.0
7.6831 0.0000 0.0000
0.0000 7.6831 0.0000
0.0000 0.0000 5.0356
La Mg Sb
4 4 2
Direct
0.1674 0.3326 0.0000
0.3326 0.8326 0.0000
0.6674 0.1674 0.0000
0.8326 0.6674 0.0000
0.1319 0.6319 0.5000
0.3681 0.1319 0.5000
0.6319 0.8681 0.5000
0.8681 0.3681 0.5000
0.0000 0.0000 0.5000
0.5000 0.5000 0.5000
```

The uncorrected formation energy is -338 meV per atom. The calculation puts the size of the total moment at 0.00 μB per formula unit. As for the density of states at the Fermi level: 4.77 states/eV/f.u.


No. 9
CsRbTl: optimized geometry, PBE.

```
CsRbTl
1.0
6.7010 0.0000 0.0000
-3.3505 5.8033 0.0000
0.0000 0.0000 4.5278
Cs Rb Tl
1 1 1
Direct
0.0000 0.0000 0.0000
0.3333 0.6667 0.5825
0.6667 0.3333 0.4164
```

The formation energy from the elements is 25.8 kJ/mol of formula units. The energy above the most stable polymorph in this dataset comes out at 0.44 eV per formula unit. The calculation puts the size of the total moment at 0.04 μB per formula unit. As for the density of states at the Fermi level: 3.88 states/eV/f.u.


No. 10
CaTm2Ga6: optimized geometry, PBE.

```
CaTm2Ga6
1.0
7.4562 0.0000 0.0000
-3.7281 6.4573 0.0000
0.0000 0.0000 3.8673
Ca Tm Ga
1 2 6
Direct
0.0000 0.0000 0.0000
0.3333 0.6667 0.0000
0.6667 0.3333 0.0000
0.0000 0.3358 0.5000
0.0000 0.6642 0.5000
0.3358 0.0000 0.5000
0.3358 0.3358 0.5000
0.6642 0.0000 0.5000
0.6642 0.6642 0.5000
```

The formation energy from the elements is -467.6 kJ/mol of formula units. The energy above the most stable polymorph in this dataset comes out at 0.00 eV per formula unit. The calculation puts the size of the total moment at 0.00 μB per formula unit. As for the density of states at the Fermi level: 3.10 states/eV/f.u.


No. 11
As2SeIBr: optimized geometry, PBE.

```
As2SeIBr
1.0
5.3482 0.0000 0.0000
0.0000 5.3482 0.0000
0.0000 0.0000 5.0115
As Se I Br
2 1 1 1
Direct
0.0000 0.5000 0.0000
0.5000 0.0000 0.0000
0.0000 0.0000 0.5000
0.5000 0.5000 0.5000
0.0000 0.0000 0.0000
```

The uncorrected formation energy is 1083 meV per atom. The energy above the most stable polymorph in this dataset comes out at 2.17 eV per formula unit. The calculation puts the size of the total moment at 0.00 μB per formula unit. As for the density of states at the Fermi level: 4.98 states/eV/f.u.


No. 12
LaPu2Au6: optimized geometry, PBE.

```
LaPu2Au6
1.0
8.4438 0.0000 0.0000
-4.2219 7.3126 0.0000
0.0000 0.0000 3.2806
La Pu Au
1 2 6
Direct
0.0000 0.0000 0.0000
0.3333 0.6667 0.0000
0.6667 0.3333 0.0000
0.0000 0.3350 0.5000
0.0000 0.6650 0.5000
0.3350 0.0000 0.5000
0.3350 0.3350 0.5000
0.6650 0.0000 0.5000
0.6650 0.6650 0.5000
```

The formation energy from the elements is -500.3 kJ/mol of formula units. The calculation puts the size of the total moment at 11.97 μB per formula unit. As for the density of states at the Fermi level: 22.03 states/eV/f.u.